1.
Below is a geometry-optimized SrFe2Tc structure, with properties calculated at the PBE level.

POSCAR file:
```
SrFe2Tc
1.0
-2.426 0.927 -1.611
0.578 -2.144 -2.105
-4.352 -4.861 3.756
Tc Fe Sr
1 2 1
direct
0.500 0.500 0.828
0.500 0.500 0.168
0.000 0.000 0.007
0.000 0.000 0.498
```

Output
Energy above the most stable polymorph in this dataset, meV per atom: 183

=====

2.
Below is a geometry-optimized SrFe2Tc structure, with properties calculated at the PBE level.

POSCAR file:
```
SrFe2Tc
1.0
4.071 0.000 0.000
0.000 3.449 0.077
0.000 1.583 5.815
Fe Tc Sr
2 1 1
direct
0.500 0.108 0.162
0.000 0.200 0.969
0.500 0.730 0.915
0.000 0.462 0.454
```

Output
Energy above the most stable polymorph in this dataset, meV per atom: 295

=====

3.
Below is a geometry-optimized SrFeTc3 structure, with properties calculated at the PBE level.

POSCAR file:
```
SrFeTc3
1.0
-3.100 -3.476 -0.333
2.175 -1.574 -3.820
2.731 -2.691 2.664
Tc Sr Fe
3 1 1
direct
0.500 0.000 0.000
0.000 0.500 0.000
0.000 0.000 0.500
0.000 0.000 0.000
0.500 0.500 0.500
```

=====

4.
Below is a geometry-optimized Sr2FeTc structure, with properties calculated at the PBE level.

POSCAR file:
```
Sr2FeTc
1.0
4.369 0.000 0.000
0.000 3.474 0.024
0.000 3.418 6.733
Sr Tc Fe
2 1 1
direct
0.000 0.504 0.497
0.000 0.996 0.003
0.500 0.250 0.250
0.500 0.750 0.750
```

Output
Energy above the most stable polymorph in this dataset, meV per atom: 775

=====

5.
Below is a geometry-optimized SrFeTc2 structure, with properties calculated at the PBE level.

POSCAR file:
```
SrFeTc2
1.0
2.777 -3.536 0.420
-0.755 -3.096 3.199
-1.416 -4.132 -1.147
Tc Sr Fe
2 1 1
direct
0.750 0.750 0.750
0.250 0.250 0.250
0.500 0.500 0.500
0.000 0.000 0.000
```

Output
Energy above the most stable polymorph in this dataset, meV per atom: 749

=====

6.
Below is a geometry-optimized SrFe2Tc structure, with properties calculated at the PBE level.

POSCAR file:
```
SrFe2Tc
1.0
5.731 0.444 0.088
2.247 5.290 -0.088
-3.130 -4.062 2.598
Tc Fe Sr
1 2 1
direct
0.750 0.250 0.500
0.539 0.539 0.000
0.961 0.961 0.000
0.250 0.750 0.500
```

Output
Energy above the most stable polymorph in this dataset, meV per atom: 546

=====

What did we get for ΔE_f? Answer: 2.3 2.7 17.0 4.2 4.8 3.7 eV/f.u., in the order shown.